Sr2NiW: relaxed, GGA-PBE.

Values from the calculation:
energy of formation from the pure elements	1.213	eV per atom
theoretical density	7.09	Mg/m³
space group	No. 216
excess energy over the best structure of this formula in the dataset	0.614	eV per atom
VASP energy	-4.31	eV/atom

a = 5.1735 Å, b = 5.1735 Å, c = 5.1735 Å
α = 60.00°, β = 60.00°, γ = 60.00°
With the nearest neighbours (Å) after each atom.
Sites, in units of the cell vectors:
Sr  0.0000  0.0000  0.0000  4 W 3.17, 4 Sr 3.17
Sr  0.2500  0.2500  0.2500  4 Ni 3.17, 4 Sr 3.17
Ni  0.5000  0.5000  0.5000  4 W 3.17, 4 Sr 3.17
W  0.7500  0.7500  0.7500  4 Ni 3.17, 4 Sr 3.17

=====

RbSr2Cd9: relaxed, GGA-PBE.

Values from the calculation:
energy of formation from the pure elements	-0.186	eV per atom
theoretical density	6.22	Mg/m³
space group	No. 166
VASP energy	-1.23	eV/atom

a = 10.4737 Å, b = 10.4737 Å, c = 10.4737 Å
α = 35.14°, β = 35.14°, γ = 35.14°
With the nearest neighbours (Å) after each atom.
Sites, in units of the cell vectors:
Rb  0.0000  0.0000  0.0000  18 Cd 3.65-4.03
Sr  0.1436  0.1436  0.1436  12 Cd 3.57-3.71, 3 Sr 3.90
Sr  0.8564  0.8564  0.8564  12 Cd 3.57-3.71, 3 Sr 3.90
Cd  0.0757  0.5890  0.5890  7 Cd 3.06-3.25
Cd  0.3355  0.3355  0.3355  6 Cd 3.07-3.11
Cd  0.4110  0.4110  0.9243  7 Cd 3.06-3.25
Cd  0.4110  0.9243  0.4110  7 Cd 3.06-3.25
Cd  0.5000  0.5000  0.5000  6 Cd 3.06
Cd  0.5890  0.0757  0.5890  7 Cd 3.06-3.25
Cd  0.5890  0.5890  0.0757  7 Cd 3.06-3.25
Cd  0.6645  0.6645  0.6645  6 Cd 3.07-3.11
Cd  0.9243  0.4110  0.4110  7 Cd 3.06-3.25

=====

LuMgZrRe: relaxed, GGA-PBE.

Values from the calculation:
energy of formation from the pure elements	-0.035	eV per atom
theoretical density	9.81	Mg/m³
space group	No. 216
VASP energy	-6.81	eV/atom

a = 4.8512 Å, b = 4.8512 Å, c = 4.8512 Å
α = 60.00°, β = 60.00°, γ = 60.00°
With the nearest neighbours (Å) after each atom.
Sites, in units of the cell vectors:
Lu  0.0000  0.0000  0.0000  4 Re 2.97, 4 Mg 2.97
Mg  0.2500  0.2500  0.2500  4 Zr 2.97, 4 Lu 2.97
Zr  0.5000  0.5000  0.5000  4 Re 2.97, 4 Mg 2.97
Re  0.7500  0.7500  0.7500  4 Zr 2.97, 4 Lu 2.97

=====

PuAg2Pb: relaxed, GGA-PBE.

Values from the calculation:
energy of formation from the pure elements	0.033	eV per atom
theoretical density	11.36	Mg/m³
space group	No. 63
VASP energy	-5.90	eV/atom

a = 6.2253 Å, b = 6.2253 Å, c = 7.1795 Å
α = 90.00°, β = 90.00°, γ = 135.53°
With the nearest neighbours (Å) after each atom.
Sites, in units of the cell vectors:
Pu  0.0715  0.9285  0.7500  8 Ag 3.25-3.48, 3 Pb 3.29-3.41
Pu  0.9285  0.0715  0.2500  8 Ag 3.25-3.48, 3 Pb 3.29-3.41
Ag  0.3851  0.6149  0.5540  2 Ag 2.76-2.81, 3 Pb 2.94-2.97
Ag  0.3851  0.6149  0.9460  2 Ag 2.76-2.81, 3 Pb 2.94-2.97
Ag  0.6149  0.3851  0.0540  2 Ag 2.76-2.81, 3 Pb 2.94-2.97
Ag  0.6149  0.3851  0.4460  2 Ag 2.76-2.81, 3 Pb 2.94-2.97
Pb  0.2144  0.7856  0.2500  6 Ag 2.94-2.97
Pb  0.7856  0.2144  0.7500  6 Ag 2.94-2.97

=====

BaHoMg2In2: relaxed, GGA-PBE.

Values from the calculation:
energy of formation from the pure elements	-0.335	eV per atom
theoretical density	5.28	Mg/m³
space group	No. 164
VASP energy	-2.86	eV/atom

a = 5.0402 Å, b = 5.0402 Å, c = 8.3054 Å
α = 90.00°, β = 90.00°, γ = 120.00°
With the nearest neighbours (Å) after each atom.
Sites, in units of the cell vectors:
Ba  0.0000  0.0000  0.0000  6 In 3.83, 6 Mg 3.90, 2 Ho 4.15
Ho  0.0000  0.0000  0.5000  6 Mg 3.30, 6 In 3.35
Mg  0.3333  0.6667  0.6882  4 In 2.91-3.22
Mg  0.6667  0.3333  0.3118  4 In 2.91-3.22
In  0.3333  0.6667  0.3003  4 Mg 2.91-3.22
In  0.6667  0.3333  0.6997  4 Mg 2.91-3.22

=====

AcPrHgPb: relaxed, GGA-PBE.

Values from the calculation:
energy of formation from the pure elements	-0.480	eV per atom
theoretical density	9.93	Mg/m³
space group	No. 216
excess energy over the best structure of this formula in the dataset	0.000	eV per atom
VASP energy	-3.70	eV/atom

a = 5.6819 Å, b = 5.6819 Å, c = 5.6819 Å
α = 60.00°, β = 60.00°, γ = 60.00°
With the nearest neighbours (Å) after each atom.
Sites, in units of the cell vectors:
Ac  0.0000  0.0000  0.0000  4 Hg 3.48, 4 Pb 3.48
Pr  0.5000  0.5000  0.5000  4 Hg 3.48, 4 Pb 3.48
Hg  0.2500  0.2500  0.2500  4 Ac 3.48, 4 Pr 3.48
Pb  0.7500  0.7500  0.7500  4 Ac 3.48, 4 Pr 3.48

=====

Tm4CoSb2: relaxed, GGA-PBE.

Values from the calculation:
theoretical density	9.16	Mg/m³
space group	No. 12
excess energy over the best structure of this formula in the dataset	0.000	eV per atom
VASP energy	-5.38	eV/atom

a = 6.0633 Å, b = 6.0633 Å, c = 8.4588 Å
α = 117.97°, β = 117.97°, γ = 41.24°
With the nearest neighbours (Å) after each atom.
Sites, in units of the cell vectors:
Tm  0.0628  0.0628  0.3425  1 Co 2.61
Tm  0.3417  0.3417  0.9487  2 Co 2.68
Tm  0.6583  0.6583  0.0513  2 Co 2.68
Tm  0.9372  0.9372  0.6575  1 Co 2.61
Co  0.0000  0.0000  0.0000  6 Tm 2.61-2.68
Sb  0.3397  0.3397  0.3369  8 Tm 3.11-3.30, 1 Sb 3.29, 1 Co 3.46
Sb  0.6603  0.6603  0.6631  8 Tm 3.11-3.30, 1 Sb 3.29, 1 Co 3.46

=====

Ba2ZrS4: relaxed, GGA-PBE.

Values from the calculation:
theoretical density	4.12	Mg/m³
space group	No. 139
excess energy over the best structure of this formula in the dataset	0.000	eV per atom
VASP energy	-6.02	eV/atom

a = 8.6951 Å, b = 8.6951 Å, c = 8.6951 Å
α = 146.50°, β = 146.50°, γ = 48.10°
With the nearest neighbours (Å) after each atom.
Sites, in units of the cell vectors:
Ba  0.1417  0.1417  0.0000  5 S 3.10-3.37
Ba  0.8583  0.8583  0.0000  5 S 3.10-3.37
Zr  0.5000  0.5000  0.0000  6 S 2.51-2.59
S  0.0000  0.5000  0.5000  2 Zr 2.51
S  0.3366  0.3366  0.0000  1 Zr 2.59
S  0.5000  0.0000  0.5000  2 Zr 2.51
S  0.6634  0.6634  0.0000  1 Zr 2.59